#w
Density functional theory data (PBE-GGA) for a relaxed structure of SrTl2CdNi.

Values from the calculation:
Total magnetic moment, μB per cell: 0.00

a b c (Å): 5.1339 5.1339 5.1155
angles (deg): 90.00 90.00 90.00
Space group P4/mmm (No. 123)
Inequivalent atoms, fractional coordinates:
1 Sr 0.0000 0.0000 0.0000
2 Tl 0.0000 0.5000 0.5000
3 Cd 0.5000 0.5000 0.0000
4 Ni 0.5000 0.5000 0.5000

***

#x
Density functional theory data (PBE-GGA) for a relaxed structure of SrTl2CdNi.

Values from the calculation:
Total magnetic moment, μB per cell: 0.00

a b c (Å): 5.1190 5.1190 5.5761
angles (deg): 90.00 90.00 90.00
Space group P4/mmm (No. 123)
Inequivalent atoms, fractional coordinates:
1 Sr 0.0000 0.0000 0.0000
2 Tl 0.0000 0.5000 0.5000
3 Cd 0.5000 0.5000 0.0000
4 Ni 0.0000 0.0000 0.5000

***

Last place for stability: #x

***

#w
Density functional theory data (PBE-GGA) for a relaxed structure of TaCd3Ni.

Values from the calculation:
Total magnetic moment, μB per cell: 0.00

a b c (Å): 5.3729 5.3729 5.3729
angles (deg): 90.00 90.00 90.00
Space group Pm-3m (No. 221)
Inequivalent atoms, fractional coordinates:
1 Ta 0.0000 0.0000 0.0000
2 Cd 0.0000 0.0000 0.5000
3 Ni 0.5000 0.5000 0.5000

***

#x
Density functional theory data (PBE-GGA) for a relaxed structure of TaCd3Ni.

Values from the calculation:
Total magnetic moment, μB per cell: 0.83

a b c (Å): 4.7395 4.7395 4.7395
angles (deg): 90.00 90.00 90.00
Space group Pm-3m (No. 221)
Inequivalent atoms, fractional coordinates:
1 Ta 0.0000 0.0000 0.0000
2 Cd 0.0000 0.5000 0.5000
3 Ni 0.5000 0.5000 0.5000

***

Last place for stability: #w

***

#w
Density functional theory data (PBE-GGA) for a relaxed structure of TbCdNi2.

Values from the calculation:
Total magnetic moment, μB per cell: 0.00

a b c (Å): 4.5405 4.5405 3.3497
angles (deg): 90.00 90.00 90.00
Space group P4/mmm (No. 123)
Inequivalent atoms, fractional coordinates:
1 Tb 0.0000 0.0000 0.0000
2 Cd 0.5000 0.5000 0.0000
3 Ni 0.0000 0.5000 0.5000

***

#x
Density functional theory data (PBE-GGA) for a relaxed structure of TbCdNi2.

Values from the calculation:
Total magnetic moment, μB per cell: 0.00

a b c (Å): 6.5153 6.5153 6.5153
angles (deg): 90.00 90.00 90.00
Space group Fm-3m (No. 225)
Inequivalent atoms, fractional coordinates:
1 Tb 0.0000 0.0000 0.0000
2 Cd 0.0000 0.0000 0.5000
3 Ni 0.2500 0.2500 0.2500

***

Last place for stability: #w

***

#w
Density functional theory data (PBE-GGA) for a relaxed structure of Tb2Cd3Ni2.

Values from the calculation:
Total magnetic moment, μB per cell: 0.00

a b c (Å): 10.0665 3.9299 7.4194
angles (deg): 90.00 96.68 90.00
Space group C2/m (No. 12)
Inequivalent atoms, fractional coordinates:
1 Tb 0.1241 0.0000 0.3592
2 Cd 0.0000 0.5000 0.0000
3 Cd 0.1882 0.0000 0.8558
4 Ni 0.0819 0.5000 0.6332

***

#x
Density functional theory data (PBE-GGA) for a relaxed structure of Tb2Cd3Ni2.

Values from the calculation:
Total magnetic moment, μB per cell: 0.00

a b c (Å): 3.9161 20.6094 3.6801
angles (deg): 90.00 90.00 90.00
Space group Cmmm (No. 65)
Inequivalent atoms, fractional coordinates:
1 Tb 0.0000 0.1730 0.0000
2 Cd 0.0000 0.0000 0.0000
3 Cd 0.0000 0.4221 0.5000
4 Ni 0.0000 0.2861 0.5000

***

Last place for stability: #w

***

#w
Density functional theory data (PBE-GGA) for a relaxed structure of Tb2CdNi.

Values from the calculation:
Total magnetic moment, μB per cell: 0.00

a b c (Å): 3.9137 3.9137 28.3449
angles (deg): 90.00 90.00 120.00
Space group R-3m (No. 166, hexagonal axes)
Inequivalent atoms, fractional coordinates:
1 Tb 0.0000 0.0000 0.1157
2 Cd 0.0000 0.0000 0.0000
3 Ni 0.0000 0.0000 0.5000

***

#x
Density functional theory data (PBE-GGA) for a relaxed structure of Tb2CdNi.

Values from the calculation:
Total magnetic moment, μB per cell: 0.00

a b c (Å): 7.1743 7.1743 7.1743
angles (deg): 90.00 90.00 90.00
Space group Fm-3m (No. 225)
Inequivalent atoms, fractional coordinates:
1 Tb 0.2500 0.2500 0.2500
2 Cd 0.0000 0.0000 0.0000
3 Ni 0.0000 0.0000 0.5000

***

Last place for stability: #w

***

#w
Density functional theory data (PBE-GGA) for a relaxed structure of TbTmCdNi.

Values from the calculation:
Total magnetic moment, μB per cell: 0.00

a b c (Å): 7.1117 7.1117 7.1117
angles (deg): 90.00 90.00 90.00
Space group F-43m (No. 216)
Inequivalent atoms, fractional coordinates:
1 Tb 0.0000 0.0000 0.0000
2 Tm 0.0000 0.0000 0.5000
3 Cd 0.2500 0.2500 0.2500
4 Ni 0.2500 0.2500 0.7500

***

#x
Density functional theory data (PBE-GGA) for a relaxed structure of TbTmCdNi.

Values from the calculation:
Total magnetic moment, μB per cell: 0.00

a b c (Å): 3.4321 3.4321 7.6019
angles (deg): 90.00 90.00 90.00
Space group P4mm (No. 99)
Inequivalent atoms, fractional coordinates:
1 Tb 0.0000 0.0000 0.0000
2 Tm 0.0000 0.0000 0.5767
3 Cd 0.5000 0.5000 0.2952
4 Ni 0.5000 0.5000 0.7791

***

Last place for stability: #w

***

#w
Density functional theory data (PBE-GGA) for a relaxed structure of CdTc3Ni.

Values from the calculation:
Total magnetic moment, μB per cell: 2.10

a b c (Å): 4.7855 4.7855 4.7855
angles (deg): 90.00 90.00 90.00
Space group Pm-3m (No. 221)
Inequivalent atoms, fractional coordinates:
1 Cd 0.0000 0.0000 0.0000
2 Tc 0.0000 0.0000 0.5000
3 Ni 0.5000 0.5000 0.5000

***

#x
Density functional theory data (PBE-GGA) for a relaxed structure of CdTc3Ni.

Values from the calculation:
Total magnetic moment, μB per cell: 1.84

a b c (Å): 4.4715 4.4715 4.4715
angles (deg): 90.00 90.00 90.00
Space group Pm-3m (No. 221)
Inequivalent atoms, fractional coordinates:
1 Cd 0.0000 0.0000 0.0000
2 Tc 0.0000 0.5000 0.5000
3 Ni 0.5000 0.5000 0.5000

***

Last place for stability: #w

***

#w
Density functional theory data (PBE-GGA) for a relaxed structure of CdTc2Ni2.

Values from the calculation:
Total magnetic moment, μB per cell: 0.00

a b c (Å): 7.4033 7.4033 2.6250
angles (deg): 90.00 90.00 90.00
Space group P4/mbm (No. 127)
Inequivalent atoms, fractional coordinates:
1 Cd 0.0000 0.0000 0.0000
2 Tc 0.1752 0.3248 0.5000
3 Ni 0.1164 0.6164 0.0000

***

#x
Density functional theory data (PBE-GGA) for a relaxed structure of CdTc2Ni2.

Values from the calculation:
Total magnetic moment, μB per cell: 0.00

a b c (Å): 3.5821 3.5821 11.8405
angles (deg): 90.00 90.00 90.00
Space group I4/mmm (No. 139)
Inequivalent atoms, fractional coordinates:
1 Cd 0.0000 0.0000 0.0000
2 Tc 0.0000 0.5000 0.2500
3 Ni 0.0000 0.0000 0.4024

***

Last place for stability: #x

***

#w
Density functional theory data (PBE-GGA) for a relaxed structure of CdNiTe.

Values from the calculation:
Total magnetic moment, μB per cell: 0.00

a b c (Å): 6.2929 6.2929 6.2929
angles (deg): 90.00 90.00 90.00
Space group F-43m (No. 216)
Inequivalent atoms, fractional coordinates:
1 Cd 0.0000 0.0000 0.0000
2 Ni 0.2500 0.2500 0.7500
3 Te 0.0000 0.0000 0.5000

***

#x
Density functional theory data (PBE-GGA) for a relaxed structure of CdNiTe.

Values from the calculation:
Total magnetic moment, μB per cell: 0.00

a b c (Å): 4.1478 4.1478 4.4670
angles (deg): 90.00 90.00 120.00
Space group P3m1 (No. 156)
Inequivalent atoms, fractional coordinates:
1 Cd 0.0000 0.0000 0.0000
2 Ni 0.6667 0.3333 0.3274
3 Te 0.3333 0.6667 0.4934

***

#y
Density functional theory data (PBE-GGA) for a relaxed structure of CdNiTe.

Values from the calculation:
Total magnetic moment, μB per cell: 0.00

a b c (Å): 3.0911 3.3003 12.4872
angles (deg): 90.00 90.00 90.00
Space group Imm2 (No. 44)
Inequivalent atoms, fractional coordinates:
1 Cd 0.0000 0.0000 0.0000
2 Ni 0.0000 0.0000 0.3583
3 Te 0.0000 0.0000 0.7440

***

Last place for stability: #y

***

#w
Density functional theory data (PBE-GGA) for a relaxed structure of Ti3CdNi.

Values from the calculation:
Total magnetic moment, μB per cell: 4.18

a b c (Å): 4.9501 4.9501 4.9501
angles (deg): 90.00 90.00 90.00
Space group Pm-3m (No. 221)
Inequivalent atoms, fractional coordinates:
1 Ti 0.0000 0.0000 0.5000
2 Cd 0.0000 0.0000 0.0000
3 Ni 0.5000 0.5000 0.5000

***

#x
Density functional theory data (PBE-GGA) for a relaxed structure of Ti3CdNi.

Values from the calculation:
Total magnetic moment, μB per cell: 0.00

a b c (Å): 4.5724 4.5724 4.5724
angles (deg): 90.00 90.00 90.00
Space group Pm-3m (No. 221)
Inequivalent atoms, fractional coordinates:
1 Ti 0.0000 0.0000 0.5000
2 Cd 0.5000 0.5000 0.5000
3 Ni 0.0000 0.0000 0.0000

***

Last place for stability: #w

***

#w
Density functional theory data (PBE-GGA) for a relaxed structure of TiCdNi.

Values from the calculation:
Total magnetic moment, μB per cell: 0.00

a b c (Å): 5.6329 5.6330 6.5515
angles (deg): 90.00 90.36 90.00
Space group C2/m (No. 12)
Inequivalent atoms, fractional coordinates:
1 Ti 0.0000 0.2499 0.0000
2 Cd 0.2480 0.0000 0.6358
3 Ni 0.2489 0.5000 0.7772

***

#x
Density functional theory data (PBE-GGA) for a relaxed structure of TiCdNi.

Values from the calculation:
Total magnetic moment, μB per cell: 0.00

a b c (Å): 3.0752 16.5876 3.8946
angles (deg): 90.00 90.00 90.00
Space group Cmcm (No. 63)
Inequivalent atoms, fractional coordinates:
1 Ti 0.0000 0.0799 0.2500
2 Cd 0.0000 0.2993 0.2500
3 Ni 0.0000 0.4561 0.2500

***

Last place for stability: #w

***

#w
Density functional theory data (PBE-GGA) for a relaxed structure of Tl2CdNi.

Values from the calculation:
Total magnetic moment, μB per cell: 0.00

a b c (Å): 7.0968 7.0968 7.0968
angles (deg): 90.00 90.00 90.00
Space group Fm-3m (No. 225)
Inequivalent atoms, fractional coordinates:
1 Tl 0.2500 0.2500 0.2500
2 Cd 0.0000 0.0000 0.0000
3 Ni 0.0000 0.0000 0.5000

***

#x
Density functional theory data (PBE-GGA) for a relaxed structure of Tl2CdNi.

Values from the calculation:
Total magnetic moment, μB per cell: 0.00

a b c (Å): 3.1313 4.4248 13.4172
angles (deg): 90.00 90.00 90.00
Space group Imm2 (No. 44)
Inequivalent atoms, fractional coordinates:
1 Tl 0.0000 0.0000 0.0000
2 Tl 0.0000 0.5000 0.1919
3 Cd 0.0000 0.5000 0.8267
4 Ni 0.0000 0.0000 0.4971

***

#y
Density functional theory data (PBE-GGA) for a relaxed structure of Tl2CdNi.

Values from the calculation:
Total magnetic moment, μB per cell: 0.00

a b c (Å): 3.5024 3.5024 25.9619
angles (deg): 90.00 90.00 120.00
Space group R-3m (No. 166, hexagonal axes)
Inequivalent atoms, fractional coordinates:
1 Tl 0.0000 0.0000 0.2358
2 Cd 0.0000 0.0000 0.0000
3 Ni 0.0000 0.0000 0.5000

***

Last place for stability: #w

***

#w
Density functional theory data (PBE-GGA) for a relaxed structure of Tl2CdNi.

Values from the calculation:
Total magnetic moment, μB per cell: 0.00

a b c (Å): 4.4983 4.4983 19.0558
angles (deg): 90.00 90.00 90.00
Space group I-42d (No. 122)
Inequivalent atoms, fractional coordinates:
1 Tl 0.2221 0.2500 0.1250
2 Cd 0.0000 0.0000 0.5000
3 Ni 0.0000 0.0000 0.0000

***

#x
Density functional theory data (PBE-GGA) for a relaxed structure of Tl2CdNi.

Values from the calculation:
Total magnetic moment, μB per cell: 0.00

a b c (Å): 7.0148 7.0290 3.6225
angles (deg): 90.00 90.00 90.00
Space group Cmmm (No. 65)
Inequivalent atoms, fractional coordinates:
1 Tl 0.2500 0.2500 0.0000
2 Cd 0.0000 0.0000 0.5000
3 Ni 0.0000 0.5000 0.5000

***

Last place for stability: #w